Density functional theory data (PBE+U) for a geometry-optimized CrSi2F structure.

a b c (Å): 4.231 4.231 4.231
angles (deg): 60.00 60.00 60.00
Fractional positions:
Cr: 0.000 0.000 0.000
Si: 0.250 0.250 0.250
Si: 0.750 0.750 0.750
F: 0.500 0.500 0.500

## Properties
M_tot (μB per atom): 0.1836
Space-group type: Fm-3m
ΔE to the lowest computed polymorph (eV per atom): 0.965